Ho3Mn2Ni7: optimized geometry, GGA-PBE.

It has space group R-3m (No. 166, hexagonal axes), with a = 5.0559 Å, b = 5.0559 Å, c = 24.2303 Å, α = 90.00°, β = 90.00° and γ = 120.00°. The distinct sites, in fractional coordinates, are Ho at (0.0000, 0.0000, 0.0000), Ho at (0.0000, 0.0000, 0.1393), Mn at (0.0000, 0.0000, 0.3329), Ni at (0.0000, 0.0000, 0.5000) and Ni at (0.0008, 0.5004, 0.0825).

As for the formation energy: -4.28 eV per formula unit. The calculation puts the volume at 14.90 A^3/atom. For the total magnetization, the calculation gives 0.66 μB per atom.